[1]
# SmZnCuSn PBE-GGA relaxed
# Calculated formation energy (eV per atom): -0.3025
# Crystal system: cubic
# Total moment (μB per formula unit): 0.00
data_SmZnCuSn
_symmetry_space_group_name_H-M 'F -4 3 m'
_symmetry_Int_Tables_number 216
_symmetry_space_group_name_Hall 'F -4 2 3'
_cell_length_a 6.8730
_cell_length_b 6.8730
_cell_length_c 6.8730
_cell_angle_alpha 90.00
_cell_angle_beta 90.00
_cell_angle_gamma 90.00
loop_
_atom_site_label
_atom_site_type_symbol
_atom_site_fract_x
_atom_site_fract_y
_atom_site_fract_z
_atom_site_occupancy
Sm1 Sm 0.0000 0.0000 0.0000 1
Zn1 Zn 0.2500 0.2500 0.2500 1
Cu1 Cu 0.2500 0.2500 0.7500 1
Sn1 Sn 0.0000 0.0000 0.5000 1

---

[2]
# SrSmCu4 PBE-GGA relaxed
# Calculated formation energy (eV per atom): 0.0078
# Crystal system: cubic
# Total moment (μB per formula unit): 0.00
data_SrSmCu4
_symmetry_space_group_name_H-M 'F -4 3 m'
_symmetry_Int_Tables_number 216
_symmetry_space_group_name_Hall 'F -4 2 3'
_cell_length_a 7.6581
_cell_length_b 7.6581
_cell_length_c 7.6581
_cell_angle_alpha 90.00
_cell_angle_beta 90.00
_cell_angle_gamma 90.00
loop_
_atom_site_label
_atom_site_type_symbol
_atom_site_fract_x
_atom_site_fract_y
_atom_site_fract_z
_atom_site_occupancy
Sr1 Sr 0.0000 0.0000 0.0000 1
Sm1 Sm 0.2500 0.2500 0.2500 1
Cu1 Cu 0.1248 0.1248 0.6248 1

---

[3]
# SrSm2Cu PBE-GGA relaxed
# Calculated formation energy (eV per atom): 0.0298
# Crystal system: tetragonal
# Total moment (μB per formula unit): 0.00
data_SrSm2Cu
_symmetry_space_group_name_H-M 'P 4/m m m'
_symmetry_Int_Tables_number 123
_symmetry_space_group_name_Hall '-P 4 2'
_cell_length_a 3.6699
_cell_length_b 3.6699
_cell_length_c 9.5935
_cell_angle_alpha 90.00
_cell_angle_beta 90.00
_cell_angle_gamma 90.00
loop_
_atom_site_label
_atom_site_type_symbol
_atom_site_fract_x
_atom_site_fract_y
_atom_site_fract_z
_atom_site_occupancy
Sr1 Sr 0.0000 0.0000 0.0000 1
Sm1 Sm 0.5000 0.5000 0.3311 1
Cu1 Cu 0.0000 0.0000 0.5000 1

---

[4]
# SrSmCu PBE-GGA relaxed
# Calculated formation energy (eV per atom): 0.0219
# Crystal system: tetragonal
# Total moment (μB per formula unit): 0.00
data_SrSmCu
_symmetry_space_group_name_H-M 'P 4/m m m'
_symmetry_Int_Tables_number 123
_symmetry_space_group_name_Hall '-P 4 2'
_cell_length_a 3.7109
_cell_length_b 3.7109
_cell_length_c 13.2459
_cell_angle_alpha 90.00
_cell_angle_beta 90.00
_cell_angle_gamma 90.00
loop_
_atom_site_label
_atom_site_type_symbol
_atom_site_fract_x
_atom_site_fract_y
_atom_site_fract_z
_atom_site_occupancy
Sr1 Sr 0.0000 0.0000 0.1421 1
Sm1 Sm 0.5000 0.5000 0.3797 1
Cu1 Cu 0.0000 0.0000 0.5000 1
Cu2 Cu 0.5000 0.5000 0.0000 1

---

[5]
# SrSmCu PBE-GGA relaxed
# Calculated formation energy (eV per atom): -0.0088
# Crystal system: tetragonal
# Total moment (μB per formula unit): 0.00
data_SrSmCu
_symmetry_space_group_name_H-M 'I 4 m m'
_symmetry_Int_Tables_number 107
_symmetry_space_group_name_Hall 'I 4 -2'
_cell_length_a 3.6998
_cell_length_b 3.6998
_cell_length_c 13.3963
_cell_angle_alpha 90.00
_cell_angle_beta 90.00
_cell_angle_gamma 90.00
loop_
_atom_site_label
_atom_site_type_symbol
_atom_site_fract_x
_atom_site_fract_y
_atom_site_fract_z
_atom_site_occupancy
Sr1 Sr 0.0000 0.0000 0.0000 1
Sm1 Sm 0.0000 0.0000 0.2644 1
Cu1 Cu 0.0000 0.0000 0.6579 1

---

[6]
# Sr2SmCu PBE-GGA relaxed
# Calculated formation energy (eV per atom): 0.3371
# Crystal system: trigonal
# Total moment (μB per formula unit): 0.18
data_Sr2SmCu
_symmetry_space_group_name_H-M 'R -3 m'
_symmetry_Int_Tables_number 166
_symmetry_space_group_name_Hall '-R 3 2"'
_cell_length_a 3.9128
_cell_length_b 3.9128
_cell_length_c 34.4744
_cell_angle_alpha 90.00
_cell_angle_beta 90.00
_cell_angle_gamma 120.00
loop_
_atom_site_label
_atom_site_type_symbol
_atom_site_fract_x
_atom_site_fract_y
_atom_site_fract_z
_atom_site_occupancy
Sr1 Sr 0.0000 0.0000 0.1081 1
Sm1 Sm 0.0000 0.0000 0.0000 1
Cu1 Cu 0.0000 0.0000 0.5000 1

---

[7]
# SrSm2Cu PBE-GGA relaxed
# Calculated formation energy (eV per atom): 0.2144
# Crystal system: trigonal
# Total moment (μB per formula unit): 0.00
data_SrSm2Cu
_symmetry_space_group_name_H-M 'R -3 m'
_symmetry_Int_Tables_number 166
_symmetry_space_group_name_Hall '-R 3 2"'
_cell_length_a 3.8573
_cell_length_b 3.8573
_cell_length_c 32.9066
_cell_angle_alpha 90.00
_cell_angle_beta 90.00
_cell_angle_gamma 120.00
loop_
_atom_site_label
_atom_site_type_symbol
_atom_site_fract_x
_atom_site_fract_y
_atom_site_fract_z
_atom_site_occupancy
Sr1 Sr 0.0000 0.0000 0.0000 1
Sm1 Sm 0.0000 0.0000 0.1123 1
Cu1 Cu 0.0000 0.0000 0.5000 1

---

[8]
# SrSm2Cu6 PBE-GGA relaxed
# Calculated formation energy (eV per atom): -0.1581
# Crystal system: hexagonal
# Total moment (μB per formula unit): 0.00
data_SrSm2Cu6
_symmetry_space_group_name_H-M 'P 6/m m m'
_symmetry_Int_Tables_number 191
_symmetry_space_group_name_Hall '-P 6 2'
_cell_length_a 7.4188
_cell_length_b 7.4188
_cell_length_c 3.8276
_cell_angle_alpha 90.00
_cell_angle_beta 90.00
_cell_angle_gamma 120.00
loop_
_atom_site_label
_atom_site_type_symbol
_atom_site_fract_x
_atom_site_fract_y
_atom_site_fract_z
_atom_site_occupancy
Sr1 Sr 0.0000 0.0000 0.0000 1
Sm1 Sm 0.3333 0.6667 0.0000 1
Cu1 Cu 0.0000 0.3372 0.5000 1

---

[9]
# SrSmCu2 PBE-GGA relaxed
# Calculated formation energy (eV per atom): -0.0220
# Crystal system: cubic
# Total moment (μB per formula unit): 0.00
data_SrSmCu2
_symmetry_space_group_name_H-M 'F m -3 m'
_symmetry_Int_Tables_number 225
_symmetry_space_group_name_Hall '-F 4 2 3'
_cell_length_a 7.2754
_cell_length_b 7.2754
_cell_length_c 7.2754
_cell_angle_alpha 90.00
_cell_angle_beta 90.00
_cell_angle_gamma 90.00
loop_
_atom_site_label
_atom_site_type_symbol
_atom_site_fract_x
_atom_site_fract_y
_atom_site_fract_z
_atom_site_occupancy
Sr1 Sr 0.0000 0.0000 0.0000 1
Sm1 Sm 0.0000 0.0000 0.5000 1
Cu1 Cu 0.2500 0.2500 0.2500 1

---

[10]
# SrSmCu4 PBE-GGA relaxed
# Calculated formation energy (eV per atom): -0.1215
# Crystal system: orthorhombic
# Total moment (μB per formula unit): 0.00
data_SrSmCu4
_symmetry_space_group_name_H-M 'P m m m'
_symmetry_Int_Tables_number 47
_symmetry_space_group_name_Hall '-P 2 2'
_cell_length_a 3.9292
_cell_length_b 4.2757
_cell_length_c 7.4445
_cell_angle_alpha 90.00
_cell_angle_beta 90.00
_cell_angle_gamma 90.00
loop_
_atom_site_label
_atom_site_type_symbol
_atom_site_fract_x
_atom_site_fract_y
_atom_site_fract_z
_atom_site_occupancy
Sr1 Sr 0.0000 0.0000 0.0000 1
Sm1 Sm 0.0000 0.5000 0.5000 1
Cu1 Cu 0.5000 0.0000 0.3388 1
Cu2 Cu 0.5000 0.5000 0.1744 1

---

[11]
# SrSmCu2 PBE-GGA relaxed
# Calculated formation energy (eV per atom): -0.0949
# Crystal system: tetragonal
# Total moment (μB per formula unit): 0.00
data_SrSmCu2
_symmetry_space_group_name_H-M 'P 4/m m m'
_symmetry_Int_Tables_number 123
_symmetry_space_group_name_Hall '-P 4 2'
_cell_length_a 3.6705
_cell_length_b 3.6705
_cell_length_c 7.3268
_cell_angle_alpha 90.00
_cell_angle_beta 90.00
_cell_angle_gamma 90.00
loop_
_atom_site_label
_atom_site_type_symbol
_atom_site_fract_x
_atom_site_fract_y
_atom_site_fract_z
_atom_site_occupancy
Sr1 Sr 0.0000 0.0000 0.0000 1
Sm1 Sm 0.0000 0.0000 0.5000 1
Cu1 Cu 0.5000 0.5000 0.3001 1

---

[12]
# SrSmZnCu PBE-GGA relaxed
# Calculated formation energy (eV per atom): -0.0968
# Crystal system: cubic
# Total moment (μB per formula unit): 0.00
data_SrSmZnCu
_symmetry_space_group_name_H-M 'F -4 3 m'
_symmetry_Int_Tables_number 216
_symmetry_space_group_name_Hall 'F -4 2 3'
_cell_length_a 7.4021
_cell_length_b 7.4021
_cell_length_c 7.4021
_cell_angle_alpha 90.00
_cell_angle_beta 90.00
_cell_angle_gamma 90.00
loop_
_atom_site_label
_atom_site_type_symbol
_atom_site_fract_x
_atom_site_fract_y
_atom_site_fract_z
_atom_site_occupancy
Sr1 Sr 0.0000 0.0000 0.0000 1
Sm1 Sm 0.0000 0.0000 0.5000 1
Zn1 Zn 0.2500 0.2500 0.7500 1
Cu1 Cu 0.2500 0.2500 0.2500 1

---

> What is the total moment in the fourth record?

0.00 μB per formula unit

---

> Look up the calculated formation energy of the eighth one.

-0.1581 eV per atom